This record from Alexandria via LeMat-Bulk describes a relaxed structure of NdHoTm. The functional is PBE.

The total magnetic moment comes out at 0.00 μB per atom. The value obtained for the formation enthalpy at 0 K is 0.02 eV/atom. The energy above the lowest structure with this stoichiometry comes out at 0.000 eV per atom.

```
data_NdHoTm
_chemical_formula_sum 'Nd4 Ho4 Tm4'
_cell_length_a 3.625
_cell_length_b 18.754
_cell_length_c 5.705
_cell_angle_alpha 90.00
_cell_angle_beta 90.00
_cell_angle_gamma 90.00
_symmetry_space_group_name_H-M 'C m c m'
_symmetry_Int_Tables_number 63
_symmetry_space_group_name_Hall '-C 2c 2'
loop_
_atom_site_label
_atom_site_fract_x
_atom_site_fract_y
_atom_site_fract_z
_atom_site_occupancy
Nd1 0.000 0.111 0.250 1
Ho1 0.000 0.222 0.750 1
Tm1 0.000 0.444 0.250 1
```